YFeAgPb | PBE | optimized geometry

Output
E: -5.233 eV per atom
Space group: No. 216
Crystal system: cubic
Energy above the lowest structure with this stoichiometry: 28 meV/atom
Magnetic moment: 0.5285 μB/atom

```
YFeAgPb
1.0
0.000 3.422 3.422
3.422 0.000 3.422
3.422 3.422 0.000
Y Fe Ag Pb
1 1 1 1
direct
0.000 0.000 0.000
0.750 0.750 0.750
0.250 0.250 0.250
0.500 0.500 0.500
```

=====

Ho3Mg3Tl2Pt | PBE | optimized geometry

Output
E: -3.765 eV per atom
Space group: No. 189
Crystal system: hexagonal
Magnetic moment: 0.0015 μB/atom

```
Ho3Mg3Tl2Pt
1.0
7.464 0.000 0.000
-3.732 6.464 0.000
0.000 0.000 4.475
Ho Mg Tl Pt
3 3 2 1
direct
0.000 0.398 0.000
0.398 0.000 0.000
0.602 0.602 0.000
0.000 0.769 0.500
0.231 0.231 0.500
0.769 0.000 0.500
0.333 0.667 0.500
0.667 0.333 0.500
0.000 0.000 0.000
```

=====

Cu5Ag4 | PBE | optimized geometry

Output
E: -3.238 eV per atom
Space group: No. 12
Energy relative to the elements: 83 meV per atom
Crystal system: monoclinic
Energy above the lowest structure with this stoichiometry: 42 meV/atom

```
Cu5Ag4
1.0
4.634 -1.409 0.000
4.634 1.409 0.000
-4.229 0.000 10.056
Cu Ag
5 4
direct
0.000 0.000 0.000
0.016 0.016 0.645
0.337 0.337 0.461
0.663 0.663 0.539
0.984 0.984 0.355
0.333 0.333 0.119
0.342 0.342 0.756
0.658 0.658 0.244
0.667 0.667 0.881
```

=====

CoGePtAu | PBE | optimized geometry

Output
E: -5.181 eV per atom
Space group: No. 216
Crystal system: cubic
Energy above the lowest structure with this stoichiometry: 0 meV/atom
Magnetic moment: 0.3432 μB/atom

```
CoGePtAu
1.0
0.000 3.124 3.124
3.124 0.000 3.124
3.124 3.124 0.000
Co Ge Pt Au
1 1 1 1
direct
0.000 0.000 0.000
0.750 0.750 0.750
0.500 0.500 0.500
0.250 0.250 0.250
```

=====

Co2S3 | PBE | optimized geometry

Output
E: -5.715 eV per atom
Space group: No. 167
Crystal system: trigonal
Magnetic moment: 0.0006 μB/atom

```
Co2S3
1.0
2.835 1.637 5.007
-2.835 1.637 5.007
0.000 -3.274 5.007
Co S
4 6
direct
0.150 0.150 0.150
0.350 0.350 0.350
0.650 0.650 0.650
0.850 0.850 0.850
0.053 0.750 0.447
0.250 0.553 0.947
0.447 0.053 0.750
0.553 0.947 0.250
0.750 0.447 0.053
0.947 0.250 0.553
```

=====

TbScTa | PBE | optimized geometry

Output
E: -6.430 eV per atom
Space group: No. 216
Energy relative to the elements: 1173 meV per atom
Crystal system: cubic
Magnetic moment: 0.3810 μB/atom

```
TbScTa
1.0
0.000 3.425 3.425
3.425 0.000 3.425
3.425 3.425 0.000
Tb Sc Ta
1 1 1
direct
0.000 0.000 0.000
0.750 0.750 0.750
0.500 0.500 0.500
```

=====

Ag2PO3F | PBE | optimized geometry

Output
E: -5.371 eV per atom
Space group: No. 15
Crystal system: monoclinic

```
Ag2PO3F
1.0
4.598 -2.768 0.000
4.598 2.768 0.000
-0.183 0.000 14.715
Ag P O F
8 4 12 4
direct
0.000 0.000 0.000
0.000 0.000 0.500
0.022 0.978 0.750
0.311 0.393 0.168
0.393 0.311 0.668
0.607 0.689 0.332
0.689 0.607 0.832
0.978 0.022 0.250
0.268 0.357 0.382
0.357 0.268 0.882
0.643 0.732 0.118
0.732 0.643 0.618
0.017 0.299 0.390
0.161 0.495 0.816
0.186 0.669 0.370
0.299 0.017 0.890
0.331 0.814 0.130
0.495 0.161 0.316
0.505 0.839 0.684
0.669 0.186 0.870
0.701 0.983 0.110
0.814 0.331 0.630
0.839 0.505 0.184
0.983 0.701 0.610
0.279 0.421 0.980
0.421 0.279 0.480
0.579 0.721 0.520
0.721 0.579 0.020
```

=====

BeIn2Ni | PBE | optimized geometry

Output
E: -3.213 eV per atom
Space group: No. 216
Crystal system: cubic
Magnetic moment: 0.0004 μB/atom

```
BeIn2Ni
1.0
0.000 3.221 3.221
3.221 0.000 3.221
3.221 3.221 0.000
Be In Ni
1 2 1
direct
0.000 0.000 0.000
0.500 0.500 0.500
0.750 0.750 0.750
0.250 0.250 0.250
```

=====

KZrPd | PBE | optimized geometry

Output
E: -4.292 eV per atom
Space group: No. 216
Crystal system: cubic
Magnetic moment: 0.2352 μB/atom

```
KZrPd
1.0
0.000 3.428 3.428
3.428 0.000 3.428
3.428 3.428 0.000
K Zr Pd
1 1 1
direct
0.000 0.000 0.000
0.500 0.500 0.500
0.250 0.250 0.250
```

=====

CsLaCdO3 | PBE | optimized geometry

Output
E: -5.603 eV per atom
Space group: No. 63
Crystal system: orthorhombic
Magnetic moment: 0.0000 μB/atom

```
CsLaCdO3
1.0
1.899 -7.087 0.000
1.899 7.087 0.000
0.000 0.000 9.654
Cs La Cd O
2 2 2 6
direct
0.199 0.801 0.750
0.801 0.199 0.250
0.500 0.500 0.000
0.500 0.500 0.500
0.078 0.922 0.250
0.922 0.078 0.750
0.107 0.893 0.036
0.107 0.893 0.464
0.476 0.524 0.250
0.524 0.476 0.750
0.893 0.107 0.536
0.893 0.107 0.964
```

=====

CuW4AuC2 | PBE | optimized geometry

Output
E: -9.437 eV per atom
Space group: No. 187
Crystal system: hexagonal
Magnetic moment: 0.0002 μB/atom

```
CuW4AuC2
1.0
3.090 0.000 0.000
-1.545 2.676 0.000
0.000 0.000 13.223
Cu W Au C
1 4 1 2
direct
0.000 0.000 0.000
0.000 0.000 0.327
0.000 0.000 0.673
0.333 0.667 0.155
0.333 0.667 0.845
0.333 0.667 0.500
0.667 0.333 0.241
0.667 0.333 0.759
```

=====

TlSbAu | PBE | optimized geometry

Output
E: -3.219 eV per atom
Space group: No. 62
Crystal system: orthorhombic
Energy above the lowest structure with this stoichiometry: 131 meV/atom

```
TlSbAu
1.0
7.735 0.000 0.000
0.000 4.499 0.000
0.000 0.000 8.960
Tl Sb Au
4 4 4
direct
0.151 0.250 0.033
0.349 0.750 0.533
0.651 0.250 0.467
0.849 0.750 0.967
0.075 0.250 0.673
0.425 0.750 0.173
0.575 0.250 0.827
0.925 0.750 0.327
0.140 0.250 0.363
0.360 0.750 0.863
0.640 0.250 0.137
0.860 0.750 0.637
```

=====

BaPmAsO | PBE | optimized geometry

Output
E: -5.660 eV per atom
Space group: No. 129
Crystal system: tetragonal
Energy above the lowest structure with this stoichiometry: 415 meV/atom
Magnetic moment: 0.0001 μB/atom

```
BaPmAsO
1.0
4.525 0.000 0.000
0.000 4.525 0.000
0.000 0.000 9.725
Ba Pm As O
2 2 2 2
direct
0.250 0.750 0.000
0.750 0.250 0.000
0.250 0.250 0.412
0.750 0.750 0.588
0.250 0.250 0.771
0.750 0.750 0.229
0.250 0.750 0.500
0.750 0.250 0.500
```

=====

Tb2HoP3 | PBE | optimized geometry

Output
E: -6.624 eV per atom
Space group: No. 164
Crystal system: trigonal
Magnetic moment: 0.0002 μB/atom

```
Tb2HoP3
1.0
4.014 0.000 0.000
-2.007 3.476 0.000
0.000 0.000 9.823
Tb Ho P
2 1 3
direct
0.333 0.667 0.333
0.667 0.333 0.667
0.000 0.000 0.000
0.000 0.000 0.500
0.333 0.667 0.835
0.667 0.333 0.165
```